Computed, not measured: a geometry-optimized Ca2PaSi4Pt3 structure at the PBE level of DFT.

POSCAR file:
```
Ca2PaSi4Pt3
1.0
4.200 0.000 0.000
0.000 4.200 0.000
0.000 0.000 11.240
Ca Pa Si Pt
2 1 4 3
Direct
0.000 0.500 0.229
0.500 0.000 0.771
0.000 0.000 0.500
0.000 0.000 0.000
0.000 0.500 0.671
0.500 0.000 0.329
0.500 0.500 0.000
0.000 0.500 0.888
0.500 0.000 0.112
0.500 0.500 0.500
```

Calculated values
For the density of states at the Fermi level, the calculation gives 4.75 states/eV/cell. The calculation puts the formation energy without anion corrections at -0.74 eV/atom. As for the total magnetic moment: 0.0 Bohr magnetons per cell.

---

Computed, not measured: a geometry-optimized CaSm2ScSe4 structure at the PBE level of DFT.

POSCAR file:
```
CaSm2ScSe4
1.0
7.086 0.000 0.000
0.000 4.074 0.000
-2.327 0.000 6.759
Ca Sm Sc Se
1 2 1 4
Direct
0.000 0.000 0.000
0.000 0.500 0.500
0.500 0.000 0.500
0.500 0.500 0.000
0.254 0.500 0.239
0.263 0.000 0.768
0.737 0.000 0.232
0.746 0.500 0.761
```

Calculated values
For the density of states at the Fermi level, the calculation gives 3.67 states/eV/cell. The calculation puts the formation energy without anion corrections at -1.78 eV/atom. As for the total magnetic moment: 0.0 Bohr magnetons per cell.

---

Computed, not measured: a geometry-optimized Nd2Sm3Sn3 structure at the PBE level of DFT.

POSCAR file:
```
Nd2Sm3Sn3
1.0
9.236 0.000 0.000
-4.618 7.999 0.000
0.000 0.000 6.789
Nd Sm Sn
4 6 6
Direct
0.333 0.667 0.000
0.333 0.667 0.500
0.667 0.333 0.000
0.667 0.333 0.500
0.000 0.240 0.250
0.000 0.760 0.750
0.240 0.000 0.250
0.240 0.240 0.750
0.760 0.000 0.750
0.760 0.760 0.250
0.000 0.393 0.750
0.000 0.607 0.250
0.393 0.000 0.750
0.393 0.393 0.250
0.607 0.000 0.250
0.607 0.607 0.750
```

Calculated values
For the density of states at the Fermi level, the calculation gives 15.51 states/eV/cell. The value obtained for the formation energy is -694 meV per atom. As for the total magnetic moment: 0.0 Bohr magnetons per cell.